(1)
# YTl2Pt

A relaxed YTl2Pt crystal (GGA-PBEsol, Alexandria via LeMat-Bulk).

```
data_YTl2Pt
_cell_length_a 4.9520
_cell_length_b 4.9520
_cell_length_c 6.9268
_cell_angle_alpha 90.00
_cell_angle_beta 90.00
_cell_angle_gamma 90.00
_symmetry_space_group_name_H-M 'I 4/m m m'
_symmetry_Int_Tables_number 139
_symmetry_space_group_name_Hall '-I 4 2'
loop_
_atom_site_label
_atom_site_fract_x
_atom_site_fract_y
_atom_site_fract_z
_atom_site_occupancy
Y1 0.0000 0.0000 0.0000 1
Tl1 0.0000 0.5000 0.2500 1
Pt1 0.0000 0.0000 0.5000 1
```

Computed properties:
As for the formation energy: -0.338 eV per atom.

***

(2)
# LaNb2CuBrO7

A relaxed LaNb2CuBrO7 crystal (GGA-PBEsol, Alexandria via LeMat-Bulk).

```
data_LaNb2CuBrO7
_cell_length_a 3.8965
_cell_length_b 3.8965
_cell_length_c 11.6889
_cell_angle_alpha 90.00
_cell_angle_beta 90.00
_cell_angle_gamma 90.00
_symmetry_space_group_name_H-M 'P 4/m m m'
_symmetry_Int_Tables_number 123
_symmetry_space_group_name_Hall '-P 4 2'
loop_
_atom_site_label
_atom_site_fract_x
_atom_site_fract_y
_atom_site_fract_z
_atom_site_occupancy
La1 0.0000 0.0000 0.0000 1
Nb1 0.5000 0.5000 0.1906 1
Cu1 0.5000 0.5000 0.5000 1
Br1 0.0000 0.0000 0.5000 1
O1 0.0000 0.5000 0.1526 1
O2 0.5000 0.5000 0.0000 1
O3 0.5000 0.5000 0.3449 1
```

Computed properties:
The value obtained for the formation energy from raw total energies is -2324 meV per atom.

***

(3)
# SnBr3N

A relaxed SnBr3N crystal (GGA-PBEsol, Alexandria via LeMat-Bulk).

```
data_SnBr3N
_cell_length_a 4.7076
_cell_length_b 4.7076
_cell_length_c 4.7076
_cell_angle_alpha 90.00
_cell_angle_beta 90.00
_cell_angle_gamma 90.00
_symmetry_space_group_name_H-M 'P m -3 m'
_symmetry_Int_Tables_number 221
_symmetry_space_group_name_Hall '-P 4 2 3'
loop_
_atom_site_label
_atom_site_fract_x
_atom_site_fract_y
_atom_site_fract_z
_atom_site_occupancy
Sn1 0.0000 0.0000 0.0000 1
Br1 0.0000 0.5000 0.5000 1
N1 0.5000 0.5000 0.5000 1
```

Computed properties:
The value obtained for the formation energy from raw total energies is 525 meV per atom.